# GdMgRh2, relaxed, DFT PBE
# **Energy of formation**: -0.672 eV per atom
# **Calculated volume**: 288.31 Å³/cell
# **E**: -8.2670 eV per atom
data_GdMgRh2
_chemical_formula_sum 'Gd4 Mg4 Rh8'
_symmetry_space_group_name_H-M 'F m -3 m'
_symmetry_Int_Tables_number 225
_symmetry_space_group_name_Hall '-F 4 2 3'
_cell_length_a 6.6062
_cell_length_b 6.6062
_cell_length_c 6.6062
_cell_angle_alpha 90.00
_cell_angle_beta 90.00
_cell_angle_gamma 90.00
loop_
_atom_site_label
_atom_site_fract_x
_atom_site_fract_y
_atom_site_fract_z
Gd1 0.0000 0.0000 0.0000
Mg1 0.0000 0.0000 0.5000
Rh1 0.2500 0.2500 0.2500